# TlAs5Os3, optimized geometry, DFT GGA-PBE
# Electronic total energy ... -6.233 eV per atom
data_TlAs5Os3
_chemical_formula_sum 'Tl1 As5 Os3'
_cell_length_a 5.5466
_cell_length_b 5.5466
_cell_length_c 7.3367
_cell_angle_alpha 90.00
_cell_angle_beta 90.00
_cell_angle_gamma 120.00
_space_group_name_H-M_alt 'P 6/m m m'
_space_group_IT_number 191
_space_group_name_Hall '-P 6 2'
loop_
_atom_site_label
_atom_site_type_symbol
_atom_site_fract_x
_atom_site_fract_y
_atom_site_fract_z
Tl1 Tl 0.0000 0.0000 0.0000
As1 As 0.0000 0.0000 0.5000
As2 As 0.3333 0.6667 0.2339
Os1 Os 0.0000 0.5000 0.5000